Here is ZrPa2Ni9 after structural relaxation from Alexandria via LeMat-Bulk. Energies are from PBE-GGA.

Geometry as CIF:
```
data_ZrPa2Ni9
_cell_length_a 4.8580
_cell_length_b 4.8580
_cell_length_c 24.6191
_cell_angle_alpha 90.00
_cell_angle_beta 90.00
_cell_angle_gamma 120.00
_symmetry_space_group_name_H-M 'R -3 m'
_symmetry_Int_Tables_number 166
_symmetry_space_group_name_Hall '-R 3 2"'
loop_
_atom_site_label
_atom_site_type_symbol
_atom_site_fract_x
_atom_site_fract_y
_atom_site_fract_z
Zr1 Zr 0.0000 0.0000 0.0000
Pa1 Pa 0.0000 0.0000 0.1377
Ni1 Ni 0.0000 0.0000 0.3329
Ni2 Ni 0.0000 0.0000 0.5000
Ni3 Ni 0.9999 0.5000 0.0821
```

Computed properties:
As for the mass density: 10.7 g cm⁻³. Its energy of formation from the pure elements is -0.396 eV/atom. The value obtained for the size of the total moment is 0.000 Bohr magnetons per cell.